# 1
Ca2TiB2Ir5: optimized geometry, PBE.

Properties
Its crystal system is tetragonal. Its space-group type is P4/mbm, No. 127. The formation energy is -0.5793 eV/atom.

a = 3.0001 Å, b = 9.8256 Å, c = 9.8256 Å
α = 90.00°, β = 90.00°, γ = 90.00°
Closest atoms and distances in Å follow each position.
Sites, in units of the cell vectors:
Ca1 0.0000 0.6779 0.1779  3 B 2.79-2.99, 10 Ir 2.89-3.01, 2 Ca 3.00
Ca2 0.0000 0.3221 0.8221  3 B 2.79-2.99, 10 Ir 2.89-3.01, 2 Ca 3.00
Ca3 0.0000 0.1779 0.3221  3 B 2.79-2.99, 10 Ir 2.89-3.01, 2 Ca 3.00
Ca4 0.0000 0.8221 0.6779  3 B 2.79-2.99, 10 Ir 2.89-3.01, 2 Ca 3.00
Ti1 0.0000 0.0000 0.0000  8 Ir 2.71, 2 Ti 3.00
Ti2 0.0000 0.5000 0.5000  8 Ir 2.71, 2 Ti 3.00
B1 0.0000 0.1214 0.6214  6 Ir 2.23-2.26
B2 0.0000 0.8786 0.3786  6 Ir 2.23-2.26
B3 0.0000 0.6214 0.8786  6 Ir 2.23-2.26
B4 0.0000 0.3786 0.1214  6 Ir 2.23-2.26
Ir1 0.5000 0.2195 0.0674  2 B 2.23
Ir2 0.5000 0.7805 0.9326  2 B 2.23
Ir3 0.5000 0.0674 0.7805  2 B 2.23
Ir4 0.5000 0.7195 0.4326  2 B 2.23
Ir5 0.5000 0.9326 0.2195  2 B 2.23
Ir6 0.5000 0.2805 0.5674  2 B 2.23
Ir7 0.5000 0.5674 0.7195  2 B 2.23
Ir8 0.5000 0.4326 0.2805  2 B 2.23
Ir9 0.5000 0.5000 0.0000  4 B 2.26
Ir10 0.5000 0.0000 0.5000  4 B 2.26

---

# 2
LiCd2SnSb: optimized geometry, PBE.

Properties
Its crystal system is tetragonal. Its space-group type is P4/mmm, No. 123.

a = 4.9274 Å, b = 5.1774 Å, c = 4.9274 Å
α = 90.00°, β = 90.00°, γ = 90.00°
Closest atoms and distances in Å follow each position.
Sites, in units of the cell vectors:
Sb1 0.5000 0.5000 0.5000  4 Sn 3.48, 8 Cd 3.57
Li1 0.0000 0.0000 0.0000  4 Cd 2.46, 2 Sn 2.59
Sn1 0.0000 0.5000 0.0000  2 Li 2.59
Cd1 0.0000 0.0000 0.5000  2 Li 2.46
Cd2 0.5000 0.0000 0.0000  2 Li 2.46

---

# 3
Pa4SbTe2P: optimized geometry, PBE.

Properties
Its crystal system is monoclinic. Its space-group type is P2/m, No. 10.

a = 4.1931 Å, b = 7.3628 Å, c = 7.4941 Å
α = 108.72°, β = 90.00°, γ = 90.00°
Closest atoms and distances in Å follow each position.
Sites, in units of the cell vectors:
Pa1 0.5000 0.2720 0.2300  1 P 2.77, 2 Te 3.02, 2 Sb 3.03
Pa2 0.5000 0.7280 0.7700  1 P 2.77, 2 Te 3.02, 2 Sb 3.03
Pa3 0.0000 0.2884 0.7870  2 P 2.79, 1 Te 3.03, 1 Sb 3.04
Pa4 0.0000 0.7116 0.2130  2 P 2.79, 1 Te 3.03, 1 Sb 3.04
Sb1 0.0000 0.0000 0.0000  6 Pa 3.03-3.04
Te1 0.5000 0.0000 0.5000  6 Pa 3.26-3.27
Te2 0.0000 0.5000 0.5000  6 Pa 3.02-3.03
P1 0.5000 0.5000 0.0000  6 Pa 2.77-2.79

---

# 4
V2Tc2W: optimized geometry, PBE.

Properties
Its crystal system is monoclinic. Its space-group type is P2_1/m, No. 11. The formation energy is -0.2307 eV/atom. As for the energy above the most stable polymorph in this dataset: 0.000 eV/atom.

a = 3.0690 Å, b = 4.3570 Å, c = 10.9006 Å
α = 90.00°, β = 98.18°, γ = 90.00°
Closest atoms and distances in Å follow each position.
Sites, in units of the cell vectors:
V1 0.0492 0.7500 0.0979  8 Tc 2.61-2.67
V2 0.9508 0.2500 0.9021  8 Tc 2.61-2.67
V3 0.2489 0.7500 0.4970  2 Tc 2.62, 2 W 2.66-2.67, 4 V 2.66-2.67
V4 0.7511 0.2500 0.5030  2 Tc 2.62, 2 W 2.66-2.67, 4 V 2.66-2.67
Tc1 0.6501 0.7500 0.3006  4 V 2.62-2.67, 4 W 2.66-2.67
Tc2 0.3499 0.2500 0.6994  4 V 2.62-2.67, 4 W 2.66-2.67
Tc3 0.4512 0.7500 0.9025  6 V 2.61-2.67, 2 W 2.68
Tc4 0.5488 0.2500 0.0975  6 V 2.61-2.67, 2 W 2.68
W1 0.8493 0.7500 0.6988  2 V 2.66-2.67, 6 Tc 2.66-2.68
W2 0.1507 0.2500 0.3012  2 V 2.66-2.67, 6 Tc 2.66-2.68

---

# 5
MgInNi2: optimized geometry, PBE.

Properties
Its crystal system is monoclinic. Its space-group type is C2/m, No. 12. The formation energy is -0.1731 eV/atom.

a = 6.8555 Å, b = 4.2906 Å, c = 3.2315 Å
α = 89.90°, β = 62.02°, γ = 128.48°
Closest atoms and distances in Å follow each position.
Sites, in units of the cell vectors:
Ni1 0.0000 0.0000 0.0000  4 Mg 2.68-2.69, 4 In 2.68-2.69
Ni2 0.5000 0.0000 0.5000  4 In 2.68-2.69, 4 Mg 2.68-2.69
Mg1 0.5000 0.5000 0.0000  8 Ni 2.68-2.69
In1 0.0000 0.5000 0.5000  8 Ni 2.68-2.69

---

# 6
TlPCl2F: optimized geometry, PBE.

Properties
Its crystal system is tetragonal. Its space-group type is P4/mmm, No. 123. As for the energy above the most stable polymorph in this dataset: 0.634 eV/atom.

a = 5.2029 Å, b = 5.2029 Å, c = 5.5375 Å
α = 90.00°, β = 90.00°, γ = 90.00°
Closest atoms and distances in Å follow each position.
Sites, in units of the cell vectors:
P1 0.0000 0.0000 0.5000  2 Tl 2.77
Tl1 0.0000 0.0000 0.0000  4 Cl 2.60, 2 P 2.77
F1 0.5000 0.5000 0.5000  4 P 3.68, 8 Cl 3.80
Cl1 0.0000 0.5000 0.0000  2 Tl 2.60
Cl2 0.5000 0.0000 0.0000  2 Tl 2.60

---

# 7
ScIr2: optimized geometry, PBE.

Properties
Its crystal system is cubic. Its space-group type is Fm-3m, No. 225. The formation energy is 0.1169 eV/atom.

a = 4.2830 Å, b = 4.2830 Å, c = 4.2830 Å
α = 60.00°, β = 60.00°, γ = 60.00°
Closest atoms and distances in Å follow each position.
Sites, in units of the cell vectors:
Ir1 0.2500 0.2500 0.2500  4 Sc 2.62
Ir2 0.7500 0.7500 0.7500  4 Sc 2.62
Sc1 0.0000 0.0000 0.0000  8 Ir 2.62

---

# 8
Cs3Er3USe8: optimized geometry, PBE.

Properties
Its crystal system is trigonal. Its space-group type is R-3m, No. 166.

a = 8.3722 Å, b = 8.3713 Å, c = 9.7958 Å
α = 115.29°, β = 90.00°, γ = 120.00°
Closest atoms and distances in Å follow each position.
Sites, in units of the cell vectors:
Cs1 0.0000 0.0000 0.0000  6 Se 3.63
Cs2 0.0000 0.5000 0.0000  6 Se 3.63
Cs3 0.5000 0.5000 0.0000  6 Se 3.63
Er1 0.5000 0.0000 0.5000  6 Se 2.87
Er2 0.5000 0.5000 0.5000  6 Se 2.87
Er3 0.0000 0.5000 0.5000  6 Se 2.87
U1 0.0000 0.0000 0.5000  6 Se 2.86
Se1 0.2726 0.5451 0.3176  3 Er 2.87
Se2 0.7274 0.4549 0.6824  3 Er 2.87
Se3 0.7734 0.5468 0.3186  1 U 2.86, 2 Er 2.87
Se4 0.2266 0.4532 0.6814  1 U 2.86, 2 Er 2.87
Se5 0.7735 0.0451 0.3185  1 U 2.86, 2 Er 2.87
Se6 0.2265 0.9549 0.6815  1 U 2.86, 2 Er 2.87
Se7 0.2716 0.0451 0.3185  1 U 2.86, 2 Er 2.87
Se8 0.7284 0.9549 0.6815  1 U 2.86, 2 Er 2.87

---

# 9
MgTc3P2: optimized geometry, PBE.

Properties
Its crystal system is monoclinic. Its space-group type is C2/m, No. 12. The formation energy is -0.3154 eV/atom.

a = 4.0574 Å, b = 8.0314 Å, c = 9.2831 Å
α = 108.24°, β = 90.00°, γ = 104.63°
Closest atoms and distances in Å follow each position.
Sites, in units of the cell vectors:
Mg1 0.1696 0.3392 0.7047  7 Tc 2.90-3.17, 6 P 3.04-3.08
Mg2 0.8304 0.6608 0.2953  7 Tc 2.90-3.17, 6 P 3.04-3.08
Mg3 0.0000 0.0000 0.0000  2 P 2.68, 4 Tc 2.76
Tc1 0.0249 0.0499 0.3505  4 P 2.50-2.69, 3 Tc 2.56-2.66
Tc2 0.9751 0.9501 0.6495  4 P 2.50-2.69, 3 Tc 2.56-2.66
Tc3 0.2030 0.4060 0.3948  4 P 2.28-2.36
Tc4 0.7970 0.5940 0.6052  4 P 2.28-2.36
Tc5 0.6027 0.2055 0.1743  4 P 2.43-2.45
Tc6 0.3973 0.7945 0.8257  4 P 2.43-2.45
Tc7 0.5000 0.0000 0.5000  4 P 2.41-2.60, 4 Tc 2.56
Tc8 0.2986 0.5973 0.0214  4 P 2.42-2.60, 2 Tc 2.48
Tc9 0.7014 0.4027 0.9786  4 P 2.42-2.60, 2 Tc 2.48
P1 0.1804 0.3608 0.1394  4 Tc 2.28-2.44
P2 0.8196 0.6392 0.8606  4 Tc 2.28-2.44
P3 0.4516 0.9032 0.2039  5 Tc 2.43-2.60
P4 0.5484 0.0968 0.7961  5 Tc 2.43-2.60
P5 0.3569 0.7137 0.5496  5 Tc 2.36-2.43
P6 0.6431 0.2863 0.4504  5 Tc 2.36-2.43

---

# 10
Zr2AlW: optimized geometry, PBE.

Properties
Its crystal system is tetragonal. Its space-group type is P4mm, No. 99. The formation energy is 0.0736 eV/atom.

a = 2.8619 Å, b = 2.8619 Å, c = 9.3084 Å
α = 90.00°, β = 90.00°, γ = 90.00°
Closest atoms and distances in Å follow each position.
Sites, in units of the cell vectors:
Zr1 0.0000 0.0000 0.9855  4 Zr 2.86, 4 W 3.15
Zr2 0.5000 0.5000 0.2734  4 Zr 2.86, 4 Al 3.03
W1 0.5000 0.5000 0.7256  4 Al 2.81, 4 W 2.86
Al1 0.0000 0.0000 0.5156  4 W 2.81, 4 Al 2.86, 4 Zr 3.03

---

# 11
Lu2NbAl: optimized geometry, PBE.

Properties
Its crystal system is tetragonal. Its space-group type is P4/mmm, No. 123. The formation energy is -0.0575 eV/atom. As for the energy above the most stable polymorph in this dataset: 0.000 eV/atom.

a = 4.4090 Å, b = 4.4505 Å, c = 4.4505 Å
α = 90.00°, β = 90.00°, γ = 90.00°
Closest atoms and distances in Å follow each position.
Sites, in units of the cell vectors:
Nb1 0.5000 0.0000 0.0000  8 Lu 3.13, 4 Al 3.15
Lu1 0.0000 0.0000 0.5000  4 Nb 3.13, 4 Al 3.13, 4 Lu 3.15
Lu2 0.0000 0.5000 0.0000  4 Nb 3.13, 4 Al 3.13, 4 Lu 3.15
Al1 0.5000 0.5000 0.5000  8 Lu 3.13, 4 Nb 3.15

---

# 12
Mg2SiTc: optimized geometry, PBE.

Properties
Its crystal system is orthorhombic. Its space-group type is Pmmm, No. 47.

a = 2.7652 Å, b = 4.3226 Å, c = 5.3936 Å
α = 90.00°, β = 90.00°, γ = 90.00°
Closest atoms and distances in Å follow each position.
Sites, in units of the cell vectors:
Mg1 0.0000 0.0000 0.9933  4 Mg 2.62-2.77, 4 Tc 2.88, 4 Si 2.92
Mg2 0.0000 0.0000 0.5067  4 Mg 2.62-2.77, 4 Tc 2.88, 4 Si 2.92
Si1 0.5000 0.5000 0.2500  2 Tc 2.70, 2 Si 2.77, 8 Mg 2.92
Tc1 0.5000 0.5000 0.7500  2 Si 2.70, 2 Tc 2.77, 8 Mg 2.88

---

Result set for density of states at the Fermi level: 7.27; 3.25; 16.34; 6.55; 3.15; 8.38; 4.31; 6.43; 10.81; 4.02; 3.56; 2.48 states/eV/cell, one per record in the order listed.
Result set for E: -150.70; -10.62; -59.76; -106.15; -16.59; -11.94; -23.70; -79.78; -136.21; -33.50; -23.08; -18.29 eV per cell, one per record in the order listed.